Density functional theory data (PBE-GGA) for TiMo2W after structural relaxation.

Output
* DOS(E_F): 0.954 states/eV per atom
* M_tot: 0.000 Bohr magnetons per cell
* distance to the lowest polymorph of the same formula: 12.9 meV per atom

Unit cell a=5.477 b=5.477 c=4.473 alpha=90.00 beta=90.00 gamma=109.03
Fractional coordinates of all 8 atoms:
Ti1 0.876 0.124 0.750
W1 0.374 0.626 0.750
Mo1 0.622 0.874 0.250
Mo2 0.874 0.622 0.750
W2 0.626 0.374 0.250
Mo3 0.378 0.126 0.750
Mo4 0.126 0.378 0.250
Ti2 0.124 0.876 0.250

***

Density functional theory data (PBE-GGA) for TiMo6W after structural relaxation.

Output
* DOS(E_F): 0.760 states/eV per atom
* M_tot: 0.000 Bohr magnetons per cell
* distance to the lowest polymorph of the same formula: 321.3 meV per atom

Unit cell a=5.589 b=5.589 c=5.589 alpha=110.34 beta=110.34 gamma=110.34
Fractional coordinates of all 8 atoms:
Mo1 0.251 0.251 0.749
Mo2 0.749 0.749 0.251
Mo3 0.251 0.749 0.749
Mo4 0.749 0.251 0.251
Ti1 0.000 0.000 0.000
Mo5 0.749 0.251 0.749
W1 0.500 0.500 0.500
Mo6 0.251 0.749 0.251

***

Density functional theory data (PBE-GGA) for Ti2Mo2W after structural relaxation.

Output
* DOS(E_F): 1.211 states/eV per atom
* M_tot: 0.341 Bohr magnetons per cell
* distance to the lowest polymorph of the same formula: 210.6 meV per atom

Unit cell a=4.547 b=5.345 c=7.073 alpha=90.00 beta=108.75 gamma=90.00
Fractional coordinates of all 10 atoms:
Ti1 0.193 0.890 0.385
W1 0.604 0.557 0.209
Mo1 0.600 0.053 0.201
W2 0.396 0.057 0.791
Ti2 0.006 0.232 0.013
Ti3 0.994 0.732 0.987
Mo2 0.196 0.403 0.391
Mo3 0.804 0.903 0.609
Mo4 0.400 0.553 0.799
Ti4 0.807 0.390 0.615

***

Density functional theory data (PBE-GGA) for Ti3Mo4W4 after structural relaxation.

Output
* DOS(E_F): 0.978 states/eV per atom
* M_tot: 0.000 Bohr magnetons per cell

Unit cell a=4.715 b=2.563 c=15.210 alpha=94.83 beta=98.92 gamma=90.00
Fractional coordinates of all 11 atoms:
W1 0.909 0.409 0.819
Ti1 0.000 0.000 0.000
Ti2 0.637 0.137 0.275
W2 0.270 0.270 0.539
Mo1 0.455 0.455 0.910
W3 0.091 0.591 0.181
Mo2 0.180 0.680 0.361
Ti3 0.363 0.863 0.725
Mo3 0.545 0.545 0.090
Mo4 0.820 0.320 0.639
W4 0.730 0.730 0.461

***

Density functional theory data (PBE-GGA) for TiMo5W after structural relaxation.

Output
* DOS(E_F): 0.925 states/eV per atom
* M_tot: 0.000 Bohr magnetons per cell

Unit cell a=5.282 b=5.282 c=8.907 alpha=103.20 beta=103.20 gamma=97.10
Fractional coordinates of all 14 atoms:
Mo1 0.240 0.902 0.453
W1 0.000 0.000 0.000
Mo2 0.410 0.090 0.250
Mo3 0.807 0.481 0.858
Mo4 0.402 0.740 0.953
Mo5 0.590 0.910 0.750
Mo6 0.193 0.519 0.142
Mo7 0.760 0.098 0.547
W2 0.500 0.500 0.500
Ti1 0.227 0.273 0.750
Mo8 0.019 0.693 0.642
Mo9 0.598 0.260 0.047
Mo10 0.981 0.307 0.358
Ti2 0.773 0.727 0.250

***

Density functional theory data (PBE-GGA) for Ti2Mo5W2 after structural relaxation.

Output
* DOS(E_F): 0.957 states/eV per atom
* M_tot: 0.000 Bohr magnetons per cell

Unit cell a=6.818 b=7.068 c=8.899 alpha=127.93 beta=112.43 gamma=89.81
Fractional coordinates of all 18 atoms:
Mo1 0.070 0.408 0.639
W1 0.168 0.797 0.600
Mo2 0.764 0.412 0.302
Mo3 0.428 0.588 0.360
Mo4 0.748 0.904 0.457
Ti1 0.365 0.017 0.004
Ti2 0.871 0.766 0.760
W2 0.774 0.415 0.805
Mo5 0.215 0.771 0.105
Mo6 0.459 0.599 0.711
Mo7 0.082 0.226 0.892
Mo8 0.786 0.913 0.151
Ti3 0.477 0.453 0.980
Mo9 0.311 0.080 0.520
Mo10 0.654 0.084 0.855
W3 0.969 0.600 0.202
Ti4 0.113 0.240 0.248
W4 0.573 0.228 0.409

***

| no. | energy of formation from the pure elements (eV per atom) | total DFT energy (no corrections) (eV for the cell shown) | mass density (g/cm³) |
| --- | --- | --- | --- |
| 1 | -0.13 | -86.067 | 11.09 |
| 2 | 0.20 | -84.221 | 10.32 |
| 3 | 0.08 | -99.992 | 9.62 |
| 4 | 0.28 | -115.764 | 11.59 |
| 5 | 0.28 | -146.143 | 10.21 |
| 6 | 0.12 | -189.596 | 10.56 |